First-principles (PBE-GGA) data for HfPd6Pt2 after structural relaxation, as listed in Alexandria.

Cell lengths 6.2287, 12.7250, 3.9185 Å; angles 90.00, 108.12, 90.00 degrees
Last column: nearest neighbours and their distance in Å.
Space group C2/m (No. 12)
Symmetry-distinct sites (fractional):
Hf: 0.0000 0.0000 0.0000 [2 per cell]  8 Pd 2.77-2.83, 4 Pt 2.78
Pd: 0.1643 0.3412 0.8327 [8 per cell]  6 Pd 2.72-2.82, 3 Pt 2.75-2.79, 1 Hf 2.83
Pd: 0.1674 0.5000 0.3331 [4 per cell]  2 Hf 2.77-2.78, 8 Pd 2.78-2.82, 2 Pt 2.79
Pt: 0.0000 0.1549 0.5000 [4 per cell]  8 Pd 2.75-2.79, 2 Hf 2.78

## Properties
- ΔH_f (0 K) (eV per atom) = -0.364
- total DFT energy (no corrections) (eV per atom) = -6.27

First-principles (PBE-GGA) data for HfPd2Pt2 after structural relaxation, as listed in Alexandria.

Cell lengths 5.0150, 5.0150, 7.5913 Å; angles 90.00, 90.00, 90.00 degrees
Last column: nearest neighbours and their distance in Å.
Space group I4/mmm (No. 139)
Symmetry-distinct sites (fractional):
Hf: 0.0000 0.0000 0.0000 [2 per cell]  2 Pd 2.56
Pd: 0.0000 0.0000 0.3376 [4 per cell]  1 Pd 2.47, 1 Hf 2.56, 4 Pt 2.59
Pt: 0.0000 0.5000 0.2500 [4 per cell]  4 Pd 2.59

## Properties
- ΔH_f (0 K) (eV per atom) = 0.013
- total DFT energy (no corrections) (eV per atom) = -6.47
- E above lowest polymorph (meV per atom) = 477

First-principles (PBE-GGA) data for HfPd5Pt after structural relaxation, as listed in Alexandria.

Cell lengths 11.7867, 7.6193, 5.1323 Å; angles 90.00, 96.81, 90.00 degrees
Last column: nearest neighbours and their distance in Å.
Space group C2/c (No. 15)
Symmetry-distinct sites (fractional):
Hf: 0.0000 0.2487 0.2500 [4 per cell]  9 Pd 2.68-2.77
Pd: 0.0000 0.1130 0.7500 [4 per cell]  6 Pd 2.69-2.88, 3 Hf 2.76-2.77
Pd: 0.1052 0.4419 0.6567 [8 per cell]  7 Pd 2.67-2.96, 1 Pt 2.73, 2 Hf 2.73
Pd: 0.1870 0.0949 0.4961 [8 per cell]  7 Pd 2.67-2.96, 1 Hf 2.68, 3 Pt 2.73-2.98
Pt: 0.2500 0.2500 0.0000 [4 per cell]  8 Pd 2.73-2.98

## Properties
- ΔH_f (0 K) (eV per atom) = -0.406
- total DFT energy (no corrections) (eV per atom) = -6.40
- E above lowest polymorph (meV per atom) = 0

First-principles (PBE-GGA) data for Hf6Pd3Pt after structural relaxation, as listed in Alexandria.

Cell lengths 7.6036, 6.2413, 11.2331 Å; angles 90.00, 131.40, 90.00 degrees
Last column: nearest neighbours and their distance in Å.
Space group P2_1/c (No. 14)
Symmetry-distinct sites (fractional):
Hf: 0.0448 0.1650 0.2500 [4 per cell]  2 Pd 2.77-2.97, 2 Hf 3.05-3.09
Hf: 0.2290 0.1259 0.0596 [4 per cell]  3 Pd 2.67-2.90, 1 Pt 2.72
Hf: 0.3867 0.6225 0.0612 [4 per cell]  1 Pt 2.65, 3 Pd 2.70-2.86
Pd: 0.3035 0.6945 0.7532 [4 per cell]  6 Hf 2.70-2.97, 1 Pd 2.84, 1 Pt 2.89
Pd: 0.5000 0.0000 0.0000 [2 per cell]  4 Hf 2.67-2.75, 2 Pd 2.84
Pt: 0.0000 0.0000 0.5000 [2 per cell]  4 Hf 2.65-2.72, 2 Pd 2.89

## Properties
- ΔH_f (0 K) (eV per atom) = -0.385
- total DFT energy (no corrections) (eV per atom) = -8.52

First-principles (PBE-GGA) data for Hf2Pd2Pt after structural relaxation, as listed in Alexandria.

Cell lengths 7.3515, 7.3515, 3.3140 Å; angles 90.00, 90.00, 90.00 degrees
Last column: nearest neighbours and their distance in Å.
Space group P4/mbm (No. 127)
Symmetry-distinct sites (fractional):
Hf: 0.1759 0.3241 0.0000 [4 per cell]  6 Pd 2.62-2.81
Pd: 0.1288 0.6288 0.5000 [4 per cell]  6 Hf 2.62-2.81, 1 Pd 2.68, 2 Pt 2.89
Pt: 0.0000 0.0000 0.5000 [2 per cell]  4 Pd 2.89, 8 Hf 3.18

## Properties
- ΔH_f (0 K) (eV per atom) = -0.748
- total DFT energy (no corrections) (eV per atom) = -8.01
- E above lowest polymorph (meV per atom) = 0

First-principles (PBE-GGA) data for Hf6Pd2Pt after structural relaxation, as listed in Alexandria.

Cell lengths 5.7142, 7.2656, 10.4779 Å; angles 90.00, 121.38, 90.00 degrees
Last column: nearest neighbours and their distance in Å.
Space group P2_1/c (No. 14)
Symmetry-distinct sites (fractional):
Hf: 0.0603 0.0682 0.2376 [4 per cell]  1 Pt 2.63, 2 Pd 2.75-2.94
Hf: 0.2168 0.7410 0.0731 [4 per cell]  2 Pd 2.72-2.73, 1 Pt 2.75
Hf: 0.3785 0.1488 0.0396 [4 per cell]  2 Pd 2.73-2.88, 1 Pt 2.73, 1 Hf 2.91
Pd: 0.3154 0.0942 0.7098 [4 per cell]  6 Hf 2.72-2.94, 1 Pt 2.97
Pt: 0.5000 0.0000 0.5000 [2 per cell]  6 Hf 2.63-2.75

## Properties
- ΔH_f (0 K) (eV per atom) = -0.410
- total DFT energy (no corrections) (eV per atom) = -8.87

First-principles (PBE-GGA) data for Hf2PdPt2 after structural relaxation, as listed in Alexandria.

Cell lengths 4.9119, 6.7099, 6.1921 Å; angles 90.00, 90.21, 90.00 degrees
Last column: nearest neighbours and their distance in Å.
Space group C2/m (No. 12)
Symmetry-distinct sites (fractional):
Hf: 0.0033 0.0000 0.2454 [4 per cell]  2 Pt 2.60, 2 Pd 2.88-2.90
Pd: 0.0000 0.5000 0.0000 [2 per cell]  4 Hf 2.88-2.90
Pt: 0.0000 0.3087 0.5000 [4 per cell]  3 Pt 2.57-2.58, 2 Hf 2.60

## Properties
- ΔH_f (0 K) (eV per atom) = -0.475
- total DFT energy (no corrections) (eV per atom) = -7.91
- E above lowest polymorph (meV per atom) = 504

First-principles (PBE-GGA) data for HfPd2Pt5 after structural relaxation, as listed in Alexandria.

Cell lengths 5.6387, 7.9573, 11.3909 Å; angles 90.00, 90.00, 90.00 degrees
Last column: nearest neighbours and their distance in Å.
Space group Fmmm (No. 69)
Symmetry-distinct sites (fractional):
Hf: 0.0000 0.0000 0.0000 [4 per cell]  10 Pt 2.82, 2 Pd 2.86
Pd: 0.0000 0.0000 0.2513 [8 per cell]  9 Pt 2.82-2.83, 2 Pd 2.82, 1 Hf 2.86
Pt: 0.0000 0.0000 0.5000 [4 per cell]  2 Hf 2.82, 8 Pt 2.82, 2 Pd 2.83
Pt: 0.2500 0.2500 0.1249 [16 per cell]  4 Pd 2.82-2.83, 6 Pt 2.82-2.85, 2 Hf 2.82

## Properties
- ΔH_f (0 K) (eV per atom) = -0.555
- total DFT energy (no corrections) (eV per atom) = -6.87
- E above lowest polymorph (meV per atom) = 0